# 1
A relaxed structure of Er2Tc2C3, computed with GGA-PBE.

Cell and atoms, written as extended XYZ:
```
14
Lattice="11.558 0.000 0.000 0.000 3.302 0.000 -2.240 0.000 5.184" Properties=species:S:1:pos:R:3 pbc="T T T"
Er 0.545 0.000 1.675
Er 2.994 1.651 3.508
Er 6.324 1.651 1.675
Er 8.773 0.000 3.508
Tc -0.023 1.651 4.262
Tc 3.562 0.000 0.922
Tc 5.756 0.000 4.262
Tc 9.341 1.651 0.922
C -1.120 1.651 2.592
C 2.325 1.651 1.198
C 1.213 0.000 3.985
C 4.659 0.000 2.592
C 8.104 0.000 1.198
C 6.992 1.651 3.985
```

Calculated values
Calculated formation energy (eV/atom): -0.375
Crystal system: monoclinic
Space-group type: C2/m, No. 12

# 2
A relaxed structure of Ca4Mg3Cd2, computed with GGA-PBE.

Cell and atoms, written as extended XYZ:
```
9
Lattice="4.731 -2.731 0.000 4.731 2.731 0.000 -0.003 0.000 10.123" Properties=species:S:1:pos:R:3 pbc="T T T"
Ca 9.459 0.000 1.757
Ca 0.000 0.000 8.367
Ca 3.151 0.000 3.837
Ca 6.308 0.000 6.286
Mg -0.001 0.000 5.062
Mg 3.154 0.000 0.026
Mg 6.306 0.000 10.098
Cd 3.156 0.000 7.098
Cd 6.303 0.000 3.025
```

Calculated values
Calculated formation energy (eV/atom): -0.186
Crystal system: monoclinic
Space-group type: C2/m, No. 12

# 3
A relaxed structure of ThRuCl, computed with GGA-PBE.

Cell and atoms, written as extended XYZ:
```
6
Lattice="3.703 0.000 0.000 0.000 3.784 0.000 -1.014 -0.006 11.773" Properties=species:S:1:pos:R:3 pbc="T T T"
Th 0.453 0.946 2.070
Th 2.236 2.832 9.702
Ru 0.029 0.939 11.222
Ru 2.660 2.838 0.550
Cl 0.382 2.828 7.571
Cl 2.306 0.950 4.201
```

Calculated values
Crystal system: triclinic
Space-group type: P-1, No. 2
Uncorrected formation energy (eV/f.u.): -2.59

# 4
A relaxed structure of In2GaI5, computed with GGA-PBE.

Cell and atoms, written as extended XYZ:
```
8
Lattice="7.991 0.000 0.000 0.804 7.981 0.000 3.487 3.166 6.834" Properties=species:S:1:pos:R:3 pbc="T T T"
In 0.000 0.000 0.000
In 3.771 4.671 0.002
Ga 3.102 7.061 4.771
I 3.733 4.757 3.780
I 4.980 8.781 4.296
I 3.919 7.788 0.153
I 8.855 7.888 3.774
I 7.389 3.699 0.522
```

Calculated values
Crystal system: triclinic
Space-group type: P1, No. 1
Uncorrected formation energy (eV/f.u.): -3.68

# 5
A relaxed structure of La2GeSe6, computed with GGA-PBE.

Cell and atoms, written as extended XYZ:
```
18
Lattice="7.396 0.000 0.000 0.000 7.818 0.000 -6.192 0.000 8.703" Properties=species:S:1:pos:R:3 pbc="T T T"
La 0.068 1.108 1.968
La -3.028 2.801 6.319
La 4.232 5.017 2.384
La 1.136 6.710 6.735
Ge 3.698 0.000 0.000
Ge 0.602 3.909 4.351
Se -4.903 1.209 7.950
Se -1.807 2.700 3.598
Se -3.952 5.156 8.457
Se -0.856 6.571 4.106
Se 1.485 3.979 1.795
Se -1.610 7.748 6.147
Se 2.815 0.070 2.556
Se -0.281 3.839 6.907
Se 2.061 1.247 4.596
Se 5.157 2.662 0.245
Se 3.011 5.118 5.104
Se 6.107 6.609 0.753
```

Calculated values
Crystal system: monoclinic
Space-group type: P2_1/c, No. 14
Uncorrected formation energy (eV/f.u.): -9.63

# 6
A relaxed structure of Ti3SnO, computed with GGA-PBE.

Cell and atoms, written as extended XYZ:
```
10
Lattice="5.073 -1.962 0.000 5.073 1.962 0.000 -3.344 0.000 7.800" Properties=species:S:1:pos:R:3 pbc="T T T"
Ti -0.087 0.000 3.420
Ti -1.804 0.000 7.416
Ti 0.936 0.000 6.253
Ti 5.866 0.000 1.547
Ti 8.606 0.000 0.384
Ti 6.890 0.000 4.380
Sn 2.876 0.000 2.431
Sn 3.926 0.000 5.370
O 0.275 0.000 1.337
O 6.528 0.000 6.463
```

Calculated values
Crystal system: monoclinic
Polymorph energy (0 for the lowest one) (eV/atom): 0.000
Space-group type: C2/m, No. 12
Uncorrected formation energy (eV/f.u.): -5.86

# 7
A relaxed structure of NaHo2Lu, computed with GGA-PBE.

Cell and atoms, written as extended XYZ:
```
12
Lattice="3.457 0.000 0.000 -1.728 2.994 0.000 0.000 0.000 37.654" Properties=species:S:1:pos:R:3 pbc="T T T"
Na 0.000 0.000 0.000
Na 0.000 1.996 25.103
Na 1.728 0.998 12.551
Ho 0.000 0.000 3.497
Ho 0.000 0.000 34.157
Ho 0.000 1.996 21.605
Ho 0.000 1.996 28.600
Ho 1.728 0.998 9.054
Ho 1.728 0.998 16.048
Lu 0.000 0.000 18.827
Lu 0.000 1.996 6.276
Lu 1.728 0.998 31.378
```

Calculated values
Calculated formation energy (eV/atom): 0.160
Crystal system: trigonal
Polymorph energy (0 for the lowest one) (eV/atom): 0.023
Space-group type: R-3m, No. 166

# 8
A relaxed structure of LaPm12Ge4, computed with GGA-PBE.

Cell and atoms, written as extended XYZ:
```
17
Lattice="-5.290 5.290 5.290 5.290 -5.290 5.290 5.290 5.290 -5.290" Properties=species:S:1:pos:R:3 pbc="T T T"
La 0.000 0.000 0.000
Pm 5.290 3.504 -1.822
Pm 3.468 0.000 1.786
Pm 7.112 0.000 1.786
Pm 1.786 3.468 0.000
Pm 3.504 -1.822 5.290
Pm 0.000 1.786 3.468
Pm 5.290 3.504 1.822
Pm 1.786 7.112 0.000
Pm 3.504 1.822 5.290
Pm -1.822 5.290 3.504
Pm 1.822 5.290 3.504
Pm 0.000 1.786 7.112
Ge 2.645 2.645 -2.645
Ge 2.645 -2.645 2.645
Ge -2.645 2.645 2.645
Ge 2.645 2.645 2.645
```

Calculated values
Calculated formation energy (eV/atom): -0.104
Crystal system: cubic
Space-group type: Im-3, No. 204

- Number 8 is which compound?
  LaPm12Ge4